[1]
## TaIn3P (PBE-GGA)

Data for a relaxed TaIn3P crystal.

Computed properties:
Excess energy over the best structure of this formula in the dataset in meV per atom: 0
Energy of formation from the pure elements in eV per atom: 1.120
DOS(E_F) in states/eV/f.u.: 4.61
V in Å³/f.u.: 129.6

Lattice parameters (Å, degrees): 5.0606 5.0606 5.0606 90.00 90.00 90.00
With the nearest neighbours (Å) after each atom.
Space group Pm-3m (No. 221)
Inequivalent atoms, fractional coordinates:
Ta (0.0000, 0.0000, 0.0000) (multiplicity 1)  12 In 3.58
In (0.0000, 0.5000, 0.5000) (multiplicity 3)  2 P 2.53
P (0.5000, 0.5000, 0.5000) (multiplicity 1)  6 In 2.53

=====

[2]
## TaIn3P (PBE-GGA)

Data for a relaxed TaIn3P crystal.

Computed properties:
Excess energy over the best structure of this formula in the dataset in meV per atom: 53
Energy of formation from the pure elements in eV per atom: 1.173
DOS(E_F) in states/eV/f.u.: 6.39
V in Å³/f.u.: 158.9

Lattice parameters (Å, degrees): 5.4163 5.4163 5.4163 90.00 90.00 90.00
With the nearest neighbours (Å) after each atom.
Space group Pm-3m (No. 221)
Inequivalent atoms, fractional coordinates:
Ta (0.0000, 0.0000, 0.0000) (multiplicity 1)  6 In 2.71
In (0.0000, 0.0000, 0.5000) (multiplicity 3)  2 Ta 2.71
P (0.5000, 0.5000, 0.5000) (multiplicity 1)  12 In 3.83

=====

[3]
## TaIn4P (PBE-GGA)

Data for a relaxed TaIn4P crystal.

Computed properties:
Energy of formation from the pure elements in eV per atom: 0.757
DOS(E_F) in states/eV/f.u.: 3.53
V in Å³/f.u.: 133.1

Lattice parameters (Å, degrees): 8.1053 8.1053 8.1053 90.00 90.00 90.00
With the nearest neighbours (Å) after each atom.
Space group F-43m (No. 216)
Inequivalent atoms, fractional coordinates:
Ta (0.0000, 0.0000, 0.0000) (multiplicity 4)  12 In 3.36, 4 P 3.51
In (0.1254, 0.1254, 0.6254) (multiplicity 16)  6 In 2.86-2.87
P (0.2500, 0.2500, 0.2500) (multiplicity 4)  12 In 3.36, 4 Ta 3.51

=====

[4]
## Ta2InP2 (PBE-GGA)

Data for a relaxed Ta2InP2 crystal.

Computed properties:
Energy of formation from the pure elements in eV per atom: -0.204
DOS(E_F) in states/eV/f.u.: 3.15
V in Å³/f.u.: 83.1

Lattice parameters (Å, degrees): 7.2590 7.2590 3.1551 90.00 90.00 90.00
With the nearest neighbours (Å) after each atom.
Space group P4/mbm (No. 127)
Inequivalent atoms, fractional coordinates:
Ta (0.1522, 0.3478, 0.0000) (multiplicity 4)  6 P 2.63-2.68
In (0.0000, 0.0000, 0.5000) (multiplicity 2)  4 P 2.82, 2 In 3.16
P (0.1364, 0.6364, 0.5000) (multiplicity 4)  6 Ta 2.63-2.68, 1 P 2.80, 2 In 2.82

=====

[5]
## Ta2In2P (PBE-GGA)

Data for a relaxed Ta2In2P crystal.

Computed properties:
Energy of formation from the pure elements in eV per atom: -0.049
DOS(E_F) in states/eV/f.u.: 3.10
V in Å³/f.u.: 99.6

Lattice parameters (Å, degrees): 6.4595 6.4595 4.7733 90.00 90.00 90.00
With the nearest neighbours (Å) after each atom.
Space group P4/mbm (No. 127)
Inequivalent atoms, fractional coordinates:
Ta (0.1544, 0.3456, 0.0000) (multiplicity 4)  2 P 2.45
In (0.1612, 0.6612, 0.5000) (multiplicity 4)  6 Ta 2.92-3.14, 1 In 2.94
P (0.0000, 0.0000, 0.0000) (multiplicity 2)  4 Ta 2.45

=====

[6]
## Ta4InP (PBE-GGA)

Data for a relaxed Ta4InP crystal.

Computed properties:
Energy of formation from the pure elements in eV per atom: 0.567
DOS(E_F) in states/eV/f.u.: 4.06
V in Å³/f.u.: 118.4

Lattice parameters (Å, degrees): 7.7954 7.7954 7.7954 90.00 90.00 90.00
With the nearest neighbours (Å) after each atom.
Space group F-43m (No. 216)
Inequivalent atoms, fractional coordinates:
Ta (0.1241, 0.1241, 0.1241) (multiplicity 16)  6 Ta 2.74-2.78
In (0.2500, 0.2500, 0.7500) (multiplicity 4)  12 Ta 3.23, 4 P 3.38
P (0.0000, 0.0000, 0.5000) (multiplicity 4)  12 Ta 3.23, 4 In 3.38